Computed, not measured: crystalline Np2BeO8 at its relaxed geometry at the PBE-GGA level of DFT.

Cell lengths 6.2846, 6.2846, 4.2055 Å; angles 96.37, 96.37, 67.75 degrees
Closest atoms and distances in Å follow each position.
Positions (direct):
Np1 0.2168 0.2168 0.4184  1 O 1.78
Np2 0.7832 0.7832 0.5816  1 O 1.78
Be1 0.5000 0.5000 0.5000  4 O 1.75
O1 0.0494 0.0494 0.2629  1 Np 1.78
O2 0.2065 0.5444 0.4780  1 Be 1.75
O3 0.2338 0.2338 0.9159  2 Np 2.08-2.14
O4 0.4556 0.7935 0.5220  1 Be 1.75
O5 0.5444 0.2065 0.4780  1 Be 1.75
O6 0.7662 0.7662 0.0841  2 Np 2.08-2.14
O7 0.7935 0.4556 0.5220  1 Be 1.75
O8 0.9506 0.9506 0.7371  1 Np 1.78

- formation energy without anion corrections (meV/atom) = -2143